Record 1
Computed, not measured: AgIrW at its PBEsol-relaxed geometry at the SCAN level of DFT.

Cell: 6.0049 6.0049 6.0049 Å, 90.00 90.00 90.00°
Space group F-43m (No. 216)
Inequivalent atoms, fractional coordinates:
Ag 0.0000 0.0000 0.0000 (multiplicity 4)
Ir 0.0000 0.0000 0.5000 (multiplicity 4)
W 0.2500 0.2500 0.7500 (multiplicity 4)

Relative energy among the computed polymorphs (kJ per mole of atoms): 58.28
Spin magnetization (μB/f.u.): 0.00
Energy of formation (meV per atom): 831


Record 2
Computed, not measured: Y2AgIr at its PBEsol-relaxed geometry at the SCAN level of DFT.

Cell: 6.7748 6.7748 6.7748 Å, 90.00 90.00 90.00°
Space group F-43m (No. 216)
Inequivalent atoms, fractional coordinates:
Y 0.0000 0.0000 0.0000 (multiplicity 4)
Y 0.2500 0.2500 0.2500 (multiplicity 4)
Ag 0.2500 0.2500 0.7500 (multiplicity 4)
Ir 0.0000 0.0000 0.5000 (multiplicity 4)

Spin magnetization (μB/f.u.): 0.00
Energy of formation (meV per atom): -308


Record 3
Computed, not measured: Y2AgIr at its PBEsol-relaxed geometry at the SCAN level of DFT.

Cell: 6.9285 6.9285 6.9285 Å, 90.00 90.00 90.00°
Space group Fm-3m (No. 225)
Inequivalent atoms, fractional coordinates:
Y 0.2500 0.2500 0.2500 (multiplicity 8)
Ag 0.0000 0.0000 0.0000 (multiplicity 4)
Ir 0.0000 0.0000 0.5000 (multiplicity 4)

Spin magnetization (μB/f.u.): 0.00
Energy of formation (meV per atom): -744


Record 4
Computed, not measured: Y2AgIr at its PBEsol-relaxed geometry at the SCAN level of DFT.

Cell: 3.4522 3.4522 7.1030 Å, 90.00 90.00 90.00°
Space group P4/mmm (No. 123)
Inequivalent atoms, fractional coordinates:
Y 0.0000 0.0000 0.2302 (multiplicity 2)
Ag 0.5000 0.5000 0.5000 (multiplicity 1)
Ir 0.5000 0.5000 0.0000 (multiplicity 1)

Spin magnetization (μB/f.u.): 0.00
Energy of formation (meV per atom): -730


Record 5
Computed, not measured: Y2AgIr at its PBEsol-relaxed geometry at the SCAN level of DFT.

Cell: 4.1738 4.1738 9.3800 Å, 90.00 90.00 90.00°
Space group I-4m2 (No. 119)
Inequivalent atoms, fractional coordinates:
Y 0.0000 0.0000 0.0000 (multiplicity 2)
Y 0.0000 0.5000 0.2500 (multiplicity 2)
Ag 0.0000 0.0000 0.5000 (multiplicity 2)
Ir 0.0000 0.5000 0.7500 (multiplicity 2)

Spin magnetization (μB/f.u.): 0.00
Energy of formation (meV per atom): -423


Record 6
Computed, not measured: Zn3AgIr at its PBEsol-relaxed geometry at the SCAN level of DFT.

Cell: 4.5549 4.5549 4.5549 Å, 90.00 90.00 90.00°
Space group Pm-3m (No. 221)
Inequivalent atoms, fractional coordinates:
Zn 0.0000 0.0000 0.5000 (multiplicity 3)
Ag 0.0000 0.0000 0.0000 (multiplicity 1)
Ir 0.5000 0.5000 0.5000 (multiplicity 1)

Spin magnetization (μB/f.u.): 0.00
Energy of formation (meV per atom): 1189


Record 7
Computed, not measured: ZnAg2Ir at its PBEsol-relaxed geometry at the SCAN level of DFT.

Cell: 2.7971 3.7562 5.7603 Å, 90.00 90.00 90.00°
Space group Pmm2 (No. 25)
Inequivalent atoms, fractional coordinates:
Zn 0.0000 0.0000 0.0000 (multiplicity 1)
Ag 0.0000 0.0000 0.5287 (multiplicity 1)
Ag 0.5000 0.5000 0.2711 (multiplicity 1)
Ir 0.5000 0.5000 0.7943 (multiplicity 1)

Spin magnetization (μB/f.u.): 0.00
Energy of formation (meV per atom): 144


Record 8
Computed, not measured: Zr2AgIr at its PBEsol-relaxed geometry at the SCAN level of DFT.

Cell: 3.0393 3.2802 7.3576 Å, 90.00 90.00 90.00°
Space group Pmmm (No. 47)
Inequivalent atoms, fractional coordinates:
Zr 0.0000 0.0000 0.2312 (multiplicity 2)
Ag 0.5000 0.5000 0.5000 (multiplicity 1)
Ir 0.5000 0.5000 0.0000 (multiplicity 1)

Spin magnetization (μB/f.u.): 0.00
Energy of formation (meV per atom): -540


Record 9
Computed, not measured: KAg at its PBEsol-relaxed geometry at the SCAN level of DFT.

Cell: 4.7090 11.9807 4.7867 Å, 90.00 90.00 90.00°
Space group Cmcm (No. 63)
Inequivalent atoms, fractional coordinates:
K 0.0000 0.1466 0.2500 (multiplicity 4)
Ag 0.0000 0.4456 0.2500 (multiplicity 4)

Relative energy among the computed polymorphs (kJ per mole of atoms): 1.06
Spin magnetization (μB/f.u.): 0.00
Energy of formation (meV per atom): 49


Record 10
Computed, not measured: KAg at its PBEsol-relaxed geometry at the SCAN level of DFT.

Cell: 4.7181 4.7181 24.0435 Å, 90.00 90.00 120.00°
Space group R-3m (No. 166, hexagonal axes)
Inequivalent atoms, fractional coordinates:
K 0.0000 0.0000 0.0869 (multiplicity 6)
Ag 0.0000 0.0000 0.3333 (multiplicity 6)

Relative energy among the computed polymorphs (kJ per mole of atoms): 0.00
Spin magnetization (μB/f.u.): 0.00
Energy of formation (meV per atom): 38


Record 11
Computed, not measured: KAg2 at its PBEsol-relaxed geometry at the SCAN level of DFT.

Cell: 11.7173 5.5609 4.7596 Å, 90.00 90.00 90.00°
Space group Cmcm (No. 63)
Inequivalent atoms, fractional coordinates:
K 0.0000 0.2401 0.2500 (multiplicity 4)
Ag 0.2303 0.3720 0.7500 (multiplicity 8)

Spin magnetization (μB/f.u.): 0.00
Energy of formation (meV per atom): 17


Record 12
Computed, not measured: KAg2 at its PBEsol-relaxed geometry at the SCAN level of DFT.

Cell: 5.3234 5.3234 11.2079 Å, 90.00 90.00 90.00°
Space group I4/mcm (No. 140)
Inequivalent atoms, fractional coordinates:
K 0.0000 0.0000 0.2500 (multiplicity 4)
Ag 0.1819 0.3181 0.0000 (multiplicity 8)

Spin magnetization (μB/f.u.): 0.00
Energy of formation (meV per atom): 42


Record 13
Computed, not measured: KAg3 at its PBEsol-relaxed geometry at the SCAN level of DFT.

Cell: 6.1985 8.9149 2.9136 Å, 90.00 90.00 90.00°
Space group Cmmm (No. 65)
Inequivalent atoms, fractional coordinates:
K 0.0000 0.0000 0.0000 (multiplicity 2)
Ag 0.0000 0.5000 0.0000 (multiplicity 2)
Ag 0.2500 0.2500 0.5000 (multiplicity 4)

Spin magnetization (μB/f.u.): 0.00
Energy of formation (meV per atom): 270


Record 14
Computed, not measured: KAg3 at its PBEsol-relaxed geometry at the SCAN level of DFT.

Cell: 4.6765 7.4534 6.1427 Å, 90.00 90.00 90.00°
Space group Pmmn (No. 59, origin choice 2)
Inequivalent atoms, fractional coordinates:
K 0.2500 0.2500 0.1104 (multiplicity 2)
Ag 0.2500 0.0638 0.5926 (multiplicity 4)
Ag 0.2500 0.7500 0.3579 (multiplicity 2)

Spin magnetization (μB/f.u.): 0.00
Energy of formation (meV per atom): 57


Record 15
Computed, not measured: KAg3 at its PBEsol-relaxed geometry at the SCAN level of DFT.

Cell: 6.9774 6.9774 6.9774 Å, 90.00 90.00 90.00°
Space group Fm-3m (No. 225)
Inequivalent atoms, fractional coordinates:
K 0.0000 0.0000 0.0000 (multiplicity 4)
Ag 0.0000 0.0000 0.5000 (multiplicity 4)
Ag 0.2500 0.2500 0.2500 (multiplicity 8)

Spin magnetization (μB/f.u.): 0.00
Energy of formation (meV per atom): 302


no.,theoretical density (g/cm³)
1,14.8
2,10.2
3,9.5
4,9.4
5,9.7
6,8.7
7,13.0
8,10.9
9,3.6
10,3.2
11,5.5
12,5.3
13,7.5
14,5.6
15,7.1